(1)
Fe2GeAs8 (PBE, optimized geometry); ρ = 5.80 g/cm3; calculated volume = 224.5 Å³/cell; ΔE_f = 174 meV/atom
1.0
3.5438 -0.0251 -0.9274
0.8286 6.6490 -3.5663
-1.0731 1.1352 9.2341
As Ge Fe
8 1 2
direct
0.8886 0.7780 0.5600 As
0.5639 0.0057 0.2833 As
0.1113 0.2221 0.4400 As
0.9618 0.3314 0.8896 As
0.7878 0.3636 0.2151 As
0.4361 0.9944 0.7167 As
0.0382 0.6687 0.1104 As
0.2121 0.6364 0.7848 As
0.0002 0.9998 0.9999 Ge
0.6866 0.6864 0.2806 Fe
0.3134 0.3136 0.7194 Fe



(2)
Ta2GaTcSn (PBE, optimized geometry); ρ = 9.93 g/cm3; calculated volume = 108.4 Å³/cell; ΔE_f = 1563 meV/atom
1.0
-3.0104 0.1648 3.6684
-3.7163 -0.2407 -3.0389
0.0795 -4.7395 0.2782
Ta Tc Ga Sn
2 1 1 1
direct
0.0000 0.0000 0.5000 Ta
0.5000 0.0000 0.0000 Ta
0.5000 0.5000 0.5000 Tc
0.0000 0.0000 0.0000 Ga
0.0000 0.5000 0.0000 Sn



(3)
Ba5Ag (PBE, optimized geometry); ρ = 4.18 g/cm3; calculated volume = 315.8 Å³/cell; ΔE_f = 20 meV/atom; polymorph energy (0 for the lowest one) = 8.2 kJ/mol of atoms
1.0
6.7996 0.0000 0.0000
0.0000 4.7234 0.0000
0.0000 -2.3617 9.8325
Ba Ag
5 1
direct
0.0000 0.3655 0.7311 Ba
0.5000 0.1701 0.3403 Ba
0.5000 0.5000 0.0000 Ba
0.0000 0.6345 0.2689 Ba
0.5000 0.8299 0.6597 Ba
0.0000 0.0000 0.0000 Ag